Compound: TaVPdSe4
Source: the Alexandria database
Functional: GGA-PBE
Structure: optimized geometry

Output
Electronic total energy   -0.461 Ry/atom
Magnetization   0.27 μB/atom
Space-group type   Imma, No. 74
Density of states at the Fermi level   0.565 states/eV per atom
ΔE_f (raw)   -0.545 eV/atom
Theoretical density   7.116 g cm⁻³

a = 7.4236 Å, b = 7.5314 Å, c = 7.5314 Å
α = 62.55°, β = 60.47°, γ = 60.47°
Site moments in Bohr magnetons follow the coordinates.
Fractional coordinates of all 14 atoms:
Ta 0.5000 0.0000 0.5000  0.07
Ta 0.0000 0.0000 0.5000  0.07
V 0.0000 0.0000 0.0000  1.89
V 0.0000 0.5000 0.5000  1.89
Pd 0.6266 0.6234 0.1234  -0.12
Pd 0.3734 0.3766 0.8766  -0.12
Se 0.7544 0.7591 0.7320  -0.04
Se 0.2456 0.7680 0.7409  -0.04
Se 0.7544 0.2320 0.2591  -0.04
Se 0.2456 0.2409 0.2680  -0.04
Se 0.2226 0.7539 0.2539  -0.06
Se 0.7696 0.7539 0.2539  -0.06
Se 0.2304 0.2461 0.7461  -0.06
Se 0.7774 0.2461 0.7461  -0.06